Entry 1:
A plane-wave DFT calculation with PBE-GGA was carried out for a geometry-optimized La5SeS4 structure.

Summary:
The calculation puts the raw total energy at -6.5885 eV per atom. For the uncorrected formation energy, the calculation gives -2125 meV/atom.

Lattice parameters (Å, degrees): 4.184 5.933 11.091 105.51 100.87 90.00
Fractional coordinates of all 10 atoms:
S1 0.600 0.600 0.200
S2 0.202 0.202 0.404
S3 0.798 0.798 0.596
S4 0.400 0.400 0.800
La1 0.800 0.300 0.601
La2 0.395 0.895 0.791
La3 0.000 0.500 0.000
La4 0.605 0.105 0.209
La5 0.200 0.700 0.399
Se1 0.000 0.000 0.000

Entry 2:
A plane-wave DFT calculation with PBE-GGA was carried out for a geometry-optimized LaSeS structure.

Summary:
The calculation puts the raw total energy at -6.0041 eV per atom. The polymorph energy (0 for the lowest one) comes out at 0.016 eV/atom. For the uncorrected formation energy, the calculation gives -1824 meV/atom.

Lattice parameters (Å, degrees): 4.131 4.131 16.989 90.00 90.00 90.00
Fractional coordinates of all 12 atoms:
Se1 0.750 0.750 0.500
Se2 0.750 0.750 0.000
Se3 0.250 0.250 0.500
Se4 0.250 0.250 0.000
La1 0.751 0.250 0.144
La2 0.251 0.750 0.356
La3 0.249 0.750 0.856
La4 0.749 0.250 0.644
S1 0.751 0.250 0.317
S2 0.251 0.750 0.183
S3 0.749 0.250 0.817
S4 0.249 0.750 0.683

Entry 3:
A plane-wave DFT calculation with PBE-GGA was carried out for a geometry-optimized La4Se3S structure.

Summary:
The calculation puts the raw total energy at -6.3278 eV per atom. The polymorph energy (0 for the lowest one) comes out at 0.000 eV/atom. For the uncorrected formation energy, the calculation gives -2041 meV/atom.

Lattice parameters (Å, degrees): 4.260 7.424 7.424 109.31 90.00 90.00
Fractional coordinates of all 8 atoms:
S1 0.500 0.000 0.000
Se1 0.000 0.000 0.500
Se2 0.500 0.500 0.500
Se3 0.000 0.500 0.000
La1 0.000 0.236 0.236
La2 0.000 0.764 0.764
La3 0.500 0.243 0.757
La4 0.500 0.757 0.243

Entry 4:
A plane-wave DFT calculation with PBE-GGA was carried out for a geometry-optimized La4Se3S structure.

Summary:
The calculation puts the raw total energy at -6.3089 eV per atom. The polymorph energy (0 for the lowest one) comes out at 0.019 eV/atom. For the uncorrected formation energy, the calculation gives -2023 meV/atom.

Lattice parameters (Å, degrees): 6.054 6.054 6.054 90.00 90.00 90.00
Fractional coordinates of all 8 atoms:
S1 0.000 0.000 0.000
La1 0.000 0.000 0.500
La2 0.500 0.000 0.000
La3 0.500 0.500 0.500
La4 0.000 0.500 0.000
Se1 0.500 0.500 0.000
Se2 0.000 0.500 0.500
Se3 0.500 0.000 0.500

Entry 5:
A plane-wave DFT calculation with PBE-GGA was carried out for a geometry-optimized LaSeS structure.

Summary:
The calculation puts the raw total energy at -5.9307 eV per atom. The polymorph energy (0 for the lowest one) comes out at 0.090 eV/atom. For the uncorrected formation energy, the calculation gives -1751 meV/atom.

Lattice parameters (Å, degrees): 6.723 6.739 8.061 114.66 90.00 90.00
Fractional coordinates of all 12 atoms:
La1 0.000 0.852 0.704
La2 0.500 0.648 0.296
La3 0.500 0.352 0.704
La4 0.000 0.148 0.296
Se1 0.629 0.128 0.000
Se2 0.371 0.872 0.000
Se3 0.871 0.628 0.000
Se4 0.129 0.372 0.000
S1 0.250 0.496 0.500
S2 0.250 0.996 0.500
S3 0.750 0.504 0.500
S4 0.750 0.004 0.500

Entry 6:
A plane-wave DFT calculation with PBE-GGA was carried out for a geometry-optimized La3Se2S structure.

Summary:
The calculation puts the raw total energy at -6.3586 eV per atom. The polymorph energy (0 for the lowest one) comes out at 0.003 eV/atom. For the uncorrected formation energy, the calculation gives -2045 meV/atom.

Lattice parameters (Å, degrees): 4.266 4.266 9.540 102.91 102.91 90.03
Fractional coordinates of all 6 atoms:
La1 0.595 0.596 0.196
La2 0.934 0.936 0.874
La3 0.274 0.275 0.552
S1 0.434 0.436 0.874
Se1 0.766 0.767 0.537
Se2 0.103 0.104 0.211

Entry 7:
A plane-wave DFT calculation with PBE-GGA was carried out for a geometry-optimized La3SeS structure.

Summary:
The calculation puts the raw total energy at -5.4480 eV per atom. The polymorph energy (0 for the lowest one) comes out at 0.000 eV/atom. For the uncorrected formation energy, the calculation gives -969 meV/atom.

Lattice parameters (Å, degrees): 5.427 5.427 5.427 90.00 90.00 90.00
Fractional coordinates of all 5 atoms:
La1 0.000 0.500 0.000
La2 0.500 0.000 0.000
La3 0.000 0.000 0.500
S1 0.000 0.000 0.000
Se1 0.500 0.500 0.500

Entry 8:
A plane-wave DFT calculation with PBE-GGA was carried out for a geometry-optimized LaSeS structure.

Summary:
The calculation puts the raw total energy at -5.6586 eV per atom. The polymorph energy (0 for the lowest one) comes out at 0.362 eV/atom. For the uncorrected formation energy, the calculation gives -1479 meV/atom.

Lattice parameters (Å, degrees): 3.955 3.955 5.468 111.20 111.20 90.00
Fractional coordinates of all 3 atoms:
La1 0.659 0.659 0.318
Se1 0.312 0.312 0.623
S1 0.029 0.029 0.058

Entry 9:
A plane-wave DFT calculation with PBE-GGA was carried out for a geometry-optimized LaSeS3 structure.

Summary:
The calculation puts the raw total energy at -3.9982 eV per atom. The polymorph energy (0 for the lowest one) comes out at 0.846 eV/atom. For the uncorrected formation energy, the calculation gives 161 meV/atom.

Lattice parameters (Å, degrees): 5.583 5.583 5.583 90.00 90.00 90.00
Fractional coordinates of all 5 atoms:
Se1 0.500 0.500 0.500
La1 0.000 0.000 0.000
S1 0.000 0.000 0.500
S2 0.000 0.500 0.000
S3 0.500 0.000 0.000

Entry 10:
A plane-wave DFT calculation with PBE-GGA was carried out for a geometry-optimized La4SeS3 structure.

Summary:
The calculation puts the raw total energy at -6.5711 eV per atom. The polymorph energy (0 for the lowest one) comes out at 0.000 eV/atom. For the uncorrected formation energy, the calculation gives -2124 meV/atom.

Lattice parameters (Å, degrees): 4.178 7.285 7.285 70.70 90.00 90.00
Fractional coordinates of all 8 atoms:
La1 0.000 0.762 0.738
La2 0.000 0.238 0.262
La3 0.500 0.756 0.256
La4 0.500 0.244 0.744
S1 0.000 0.000 0.000
S2 0.000 0.500 0.500
S3 0.500 0.000 0.500
Se1 0.500 0.500 0.000

Entry 11:
A plane-wave DFT calculation with PBE-GGA was carried out for a geometry-optimized La8SiSe3S4 structure.

Summary:
The calculation puts the raw total energy at -6.4238 eV per atom. For the uncorrected formation energy, the calculation gives -1936 meV/atom.

Lattice parameters (Å, degrees): 8.511 8.497 8.511 120.06 120.00 90.00
Fractional coordinates of all 16 atoms:
Se1 0.000 0.500 0.500
Se2 0.500 0.500 0.500
Se3 0.500 0.500 0.000
S1 0.000 0.000 0.000
S2 0.000 0.000 0.500
S3 0.500 0.000 0.000
S4 0.500 0.000 0.500
La1 0.240 0.241 0.990
La2 0.760 0.759 0.010
La3 0.751 0.241 0.501
La4 0.245 0.234 0.489
La5 0.751 0.241 0.990
La6 0.755 0.766 0.511
La7 0.249 0.759 0.499
La8 0.249 0.759 0.010
Si1 0.000 0.500 0.000

Entry 12:
A plane-wave DFT calculation with PBE-GGA was carried out for a geometry-optimized La6SiSe3S2 structure.

Summary:
The calculation puts the raw total energy at -6.3336 eV per atom. For the uncorrected formation energy, the calculation gives -1859 meV/atom.

Lattice parameters (Å, degrees): 4.271 8.599 9.607 103.65 102.84 90.00
Fractional coordinates of all 12 atoms:
Se1 0.833 0.169 0.667
Se2 0.167 0.831 0.333
Se3 0.500 0.500 0.000
La1 0.997 0.756 0.994
La2 0.337 0.910 0.673
La3 0.330 0.426 0.661
La4 0.670 0.574 0.339
La5 0.003 0.244 0.006
La6 0.663 0.090 0.327
Si1 0.500 0.000 0.000
S1 0.832 0.665 0.664
S2 0.168 0.335 0.336

> Which formula does entry 1 have?

La5SeS4